i.
A plane-wave DFT calculation with PBE-GGA was carried out for a relaxed BaPt2Rh2 crystal.

a = 4.492 Å, b = 4.492 Å, c = 6.142 Å
α = 68.55°, β = 68.55°, γ = 90.00°
Fractional coordinates of all 5 atoms:
Rh: 0.750 0.250 0.500
Rh: 0.250 0.750 0.500
Ba: 0.000 0.000 0.000
Pt: 0.379 0.379 0.243
Pt: 0.621 0.621 0.757

Computed properties:
- size of the total moment (μB/f.u.) = 0.003
- V (Å³/atom) = 21.22

ii.
A plane-wave DFT calculation with PBE-GGA was carried out for a relaxed BaPt2Rh2 crystal.

a = 8.041 Å, b = 8.041 Å, c = 2.903 Å
α = 90.00°, β = 90.00°, γ = 90.00°
Fractional coordinates of all 10 atoms:
Rh: 0.177 0.677 0.500
Rh: 0.677 0.823 0.500
Rh: 0.823 0.323 0.500
Rh: 0.323 0.177 0.500
Ba: 0.000 0.000 0.000
Ba: 0.500 0.500 0.000
Pt: 0.379 0.879 0.000
Pt: 0.879 0.621 0.000
Pt: 0.621 0.121 0.000
Pt: 0.121 0.379 0.000

Computed properties:
- size of the total moment (μB/f.u.) = 0.000
- V (Å³/atom) = 18.77

Going by the energies, i is most stable and the next is 0.080 eV/atom up.

i.
A plane-wave DFT calculation with PBE-GGA was carried out for a relaxed BaPt2Rh2 crystal.

a = 8.020 Å, b = 8.020 Å, c = 2.922 Å
α = 90.00°, β = 90.00°, γ = 90.00°
Fractional coordinates of all 10 atoms:
Rh: 0.382 0.882 0.000
Rh: 0.882 0.618 0.000
Rh: 0.618 0.118 0.000
Rh: 0.118 0.382 0.000
Ba: 0.000 0.000 0.000
Ba: 0.500 0.500 0.000
Pt: 0.179 0.679 0.500
Pt: 0.679 0.821 0.500
Pt: 0.821 0.321 0.500
Pt: 0.321 0.179 0.500

Computed properties:
- size of the total moment (μB/f.u.) = 0.013
- V (Å³/atom) = 18.79

ii.
A plane-wave DFT calculation with PBE-GGA was carried out for a relaxed BaPt2Rh2 crystal.

a = 4.577 Å, b = 4.577 Å, c = 5.995 Å
α = 67.56°, β = 67.56°, γ = 90.00°
Fractional coordinates of all 5 atoms:
Rh: 0.379 0.379 0.243
Rh: 0.621 0.621 0.757
Ba: 0.000 0.000 0.000
Pt: 0.750 0.250 0.500
Pt: 0.250 0.750 0.500

Computed properties:
- size of the total moment (μB/f.u.) = 0.000
- V (Å³/atom) = 21.15

Going by the energies, ii is most stable and the next is 0.041 eV/atom up.